First-principles (GGA-PBE) data for a geometry-optimized UTlPd4 structure, as listed in Alexandria.

Values from the calculation:
formation energy	-0.30	eV/atom
symmetry	F-43m
N(E_F)	11.5	states/eV/f.u.

a b c (Å): 5.413 5.413 5.413
angles (deg): 60.00 60.00 60.00
Each line ends with the local moment (μB).
Fractional positions:
Tl: 0.000 0.000 0.000  0.03
U: 0.250 0.250 0.250  2.30
Pd: 0.625 0.625 0.124  -0.04
Pd: 0.625 0.124 0.625  -0.04
Pd: 0.625 0.625 0.625  -0.04
Pd: 0.124 0.625 0.625  -0.04



First-principles (GGA-PBE) data for a geometry-optimized In2GaSb2 structure, as listed in Alexandria.

Values from the calculation:
symmetry	P4/mbm
N(E_F)	2.9	states/eV/f.u.
relative energy among the computed polymorphs	0.000	eV/atom

a b c (Å): 8.266 8.266 4.048
angles (deg): 90.00 90.00 90.00
Fractional positions:
Sb: 0.345 0.845 0.000
Sb: 0.845 0.655 0.000
Sb: 0.655 0.155 0.000
Sb: 0.155 0.345 0.000
Ga: 0.000 0.000 0.000
Ga: 0.500 0.500 0.000
In: 0.147 0.647 0.500
In: 0.647 0.853 0.500
In: 0.853 0.353 0.500
In: 0.353 0.147 0.500



First-principles (GGA-PBE) data for a geometry-optimized KIn2Pt structure, as listed in Alexandria.

Values from the calculation:
formation energy	-0.32	eV/atom
symmetry	Cm
N(E_F)	1.1	states/eV/f.u.

a b c (Å): 4.625 4.625 6.984
angles (deg): 70.63 70.63 59.96
Fractional positions:
K: 0.505 0.505 0.486
Pt: 0.327 0.327 0.018
In: 0.960 0.960 0.120
In: 0.708 0.708 0.877



First-principles (GGA-PBE) data for a geometry-optimized MoPd2C2 structure, as listed in Alexandria.

Values from the calculation:
formation energy	1.03	eV/atom
symmetry	I4/mmm
N(E_F)	4.2	states/eV/f.u.
relative energy among the computed polymorphs	0.319	eV/atom

a b c (Å): 3.758 3.758 4.986
angles (deg): 67.86 67.86 90.00
Each line ends with the local moment (μB).
Fractional positions:
Mo: 0.000 0.000 0.000  1.77
C: 0.418 0.418 0.165  -0.01
C: 0.582 0.582 0.835  -0.01
Pd: 0.750 0.250 0.500  0.11
Pd: 0.250 0.750 0.500  0.11



First-principles (GGA-PBE) data for a geometry-optimized NaVH3 structure, as listed in Alexandria.

Values from the calculation:
symmetry	Pm-3m
N(E_F)	1.2	states/eV/f.u.
relative energy among the computed polymorphs	0.061	eV/atom

a b c (Å): 3.687 3.687 3.687
angles (deg): 90.00 90.00 90.00
Each line ends with the local moment (μB).
Fractional positions:
Na: 0.500 0.500 0.500  0.03
H: 0.000 0.500 0.000  -0.02
H: 0.000 0.000 0.500  -0.02
H: 0.500 0.000 0.000  -0.02
V: 0.000 0.000 0.000  2.41



First-principles (GGA-PBE) data for a geometry-optimized RbInAgHg2 structure, as listed in Alexandria.

Values from the calculation:
formation energy	-0.03	eV/atom
symmetry	P4/mmm
N(E_F)	1.7	states/eV/f.u.
relative energy among the computed polymorphs	0.000	eV/atom

a b c (Å): 5.727 5.727 5.471
angles (deg): 90.00 90.00 90.00
Fractional positions:
Rb: 0.500 0.500 0.500
Hg: 0.000 0.500 0.000
Hg: 0.500 0.000 0.000
Ag: 0.000 0.000 0.500
In: 0.000 0.000 0.000



First-principles (GGA-PBE) data for a geometry-optimized Ce6IrAu2 structure, as listed in Alexandria.

Values from the calculation:
formation energy	-0.45	eV/atom
symmetry	Amm2
N(E_F)	25.0	states/eV/f.u.

a b c (Å): 3.701 8.037 8.696
angles (deg): 117.52 90.00 90.00
Each line ends with the local moment (μB).
Fractional positions:
Ce: 0.500 0.559 0.000  0.42
Ce: 0.500 0.407 0.382  0.53
Ce: 0.500 0.025 0.618  0.53
Ce: 0.000 0.254 0.000  0.23
Ce: 0.000 0.753 0.741  0.42
Ce: 0.000 0.012 0.259  0.42
Ir: 0.500 0.957 0.000  -0.03
Au: 0.000 0.347 0.660  0.01
Au: 0.000 0.687 0.340  0.01



First-principles (GGA-PBE) data for a geometry-optimized SrTa2Cr structure, as listed in Alexandria.

Values from the calculation:
formation energy	0.72	eV/atom
symmetry	P2/m
N(E_F)	5.4	states/eV/f.u.
relative energy among the computed polymorphs	0.128	eV/atom

a b c (Å): 3.867 3.027 7.800
angles (deg): 76.16 90.00 90.00
Fractional positions:
Cr: 0.500 0.250 0.250
Sr: 0.500 0.750 0.750
Ta: 0.000 0.010 0.088
Ta: 0.000 0.490 0.412



no.,E (eV per atom)
1,-6.041
2,-3.235
3,-3.478
4,-6.902
5,-4.153
6,-1.460
7,-6.121
8,-8.035